[1]
LiMg2SiTe: optimized geometry, PBE.

For the energy relative to the elements, uncorrected, the calculation gives 0.09 eV per atom. The space group is P4/mmm (123). The calculation puts the total magnetization at 0.00 μB/f.u. The value obtained for the total energy is -2.6426 eV per atom.

POSCAR file:
```
LiMg2SiTe
1.0
-0.302 4.326 2.307
-3.241 -2.578 4.410
4.137 -1.016 2.446
Si Te Mg Li
1 1 2 1
direct
0.000 0.000 0.000
0.000 0.500 0.000
0.000 0.000 0.500
0.500 0.000 0.000
0.500 0.500 0.500
```

---

[2]
LiCaNi2Pb: optimized geometry, PBE.

The value obtained for the energy of formation from the pure elements is 0.31 eV per atom. The space group is P4/mmm (123). The calculation puts the total magnetization at 0.18 μB/f.u. The value obtained for the total energy is -3.5287 eV per atom.

POSCAR file:
```
LiCaNi2Pb
1.0
-3.048 -0.289 3.285
0.960 -4.548 0.491
3.166 0.994 3.025
Pb Ni Ca Li
1 2 1 1
direct
0.000 0.500 0.000
0.000 0.000 0.500
0.500 0.000 0.000
0.500 0.500 0.500
0.000 0.000 0.000
```

---

[3]
TmLu2S: optimized geometry, PBE.

For the energy relative to the elements, uncorrected, the calculation gives -0.66 eV per atom. The space group is R-3m (166). The calculation puts the total magnetization at 0.37 μB/f.u. The value obtained for the total energy is -5.0716 eV per atom.

POSCAR file:
```
TmLu2S
1.0
3.544 0.000 0.000
1.772 3.069 0.000
1.772 1.023 9.894
S Lu Tm
1 2 1
direct
0.500 0.500 0.500
0.111 0.111 0.667
0.889 0.889 0.333
0.000 0.000 0.000
```

---

[4]
Pb2C: optimized geometry, PBE.

The value obtained for the energy of formation from the pure elements is 1.45 eV per atom. The space group is P6_3/mmc (194). Its offset from the most stable computed form is 0.408 eV per atom. The calculation puts the total magnetization at 0.00 μB/f.u. The value obtained for the total energy is -4.0947 eV per atom.

POSCAR file:
```
Pb2C
1.0
1.945 -3.368 0.000
1.945 3.368 0.000
0.000 0.000 11.583
Pb C
4 2
direct
0.000 0.000 0.000
0.000 0.000 0.500
0.333 0.667 0.750
0.667 0.333 0.250
0.333 0.667 0.250
0.667 0.333 0.750
```

---

[5]
BaTeAsO6: optimized geometry, PBE.

For the energy relative to the elements, uncorrected, the calculation gives -1.55 eV per atom. The space group is P312 (149). The calculation puts the total magnetization at 0.00 μB/f.u. The value obtained for the total energy is -5.9304 eV per atom.

POSCAR file:
```
BaTeAsO6
1.0
5.327 0.000 0.000
2.663 4.613 0.000
0.000 0.000 5.815
Ba Te As O
1 1 1 6
direct
0.000 0.000 0.000
0.333 0.333 0.500
0.667 0.667 0.500
0.974 0.403 0.310
0.403 0.974 0.690
0.623 0.403 0.690
0.974 0.624 0.690
0.403 0.623 0.310
0.623 0.974 0.310
```

---

[6]
Ho4TmSc5: optimized geometry, PBE.

The value obtained for the energy of formation from the pure elements is 0.30 eV per atom. The space group is I4 (79). Its offset from the most stable computed form is 0.050 eV per atom. The calculation puts the total magnetization at 0.00 μB/f.u. The value obtained for the total energy is -5.1409 eV per atom.

POSCAR file:
```
Ho4TmSc5
1.0
-0.057 -3.891 4.585
6.064 0.436 4.390
-3.201 2.720 6.212
Ho Tm Sc
4 1 5
direct
0.404 0.389 0.706
0.793 0.706 0.611
0.110 0.294 0.389
0.499 0.611 0.294
0.226 0.000 0.000
0.802 0.371 0.917
0.174 0.917 0.629
0.719 0.083 0.371
0.090 0.629 0.083
0.692 0.000 0.000
```

---

[7]
TaAgC3: optimized geometry, PBE.

The value obtained for the energy of formation from the pure elements is 1.90 eV per atom. The space group is Pm-3m (221). Its offset from the most stable computed form is 0.000 eV per atom. The calculation puts the total magnetization at 0.00 μB/f.u. The value obtained for the total energy is -6.5706 eV per atom.

POSCAR file:
```
TaAgC3
1.0
-1.555 -3.830 0.833
3.814 -1.685 -0.631
0.906 0.521 4.085
C Ag Ta
3 1 1
direct
0.000 0.500 0.000
0.000 0.000 0.500
0.500 0.000 0.000
0.500 0.500 0.500
0.000 0.000 0.000
```

---

[8]
TlAg2Hg: optimized geometry, PBE.

The value obtained for the energy of formation from the pure elements is 0.22 eV per atom. The space group is I-42d (122). The calculation puts the total magnetization at 0.00 μB/f.u. The value obtained for the total energy is -1.8740 eV per atom.

POSCAR file:
```
TlAg2Hg
1.0
8.020 0.000 0.000
0.000 8.020 0.000
4.010 4.010 2.989
Tl Hg Ag
2 2 4
direct
0.000 0.000 0.000
0.750 0.250 0.500
0.500 0.500 0.000
0.250 0.750 0.500
0.616 0.125 0.250
0.134 0.625 0.250
0.375 0.384 0.750
0.875 0.866 0.750
```

---

Repeat the eighth record exactly.
TlAg2Hg: optimized geometry, PBE.

The value obtained for the energy of formation from the pure elements is 0.22 eV per atom. The space group is I-42d (122). The calculation puts the total magnetization at 0.00 μB/f.u. The value obtained for the total energy is -1.8740 eV per atom.

POSCAR file:
```
TlAg2Hg
1.0
8.020 0.000 0.000
0.000 8.020 0.000
4.010 4.010 2.989
Tl Hg Ag
2 2 4
direct
0.000 0.000 0.000
0.750 0.250 0.500
0.500 0.500 0.000
0.250 0.750 0.500
0.616 0.125 0.250
0.134 0.625 0.250
0.375 0.384 0.750
0.875 0.866 0.750
```

---

Which value of total magnetization does entry 8 give?
0.00 μB/f.u.

---

The highest total magnetization belongs to which entry?
TmLu2S